Entry 1:
# LaNi2WN | the Alexandria database | PBE | optimized geometry
# N(E_F)	5.71	states/eV/f.u.
# uncorrected formation energy	3.010	eV/atom
# total DFT energy (no corrections)	-22.721	eV/cell
# energy above the most stable polymorph in this dataset	14.31	eV/f.u.
data_LaNi2WN
_symmetry_space_group_name_H-M 'P 4/m m m'
_symmetry_Int_Tables_number 123
_symmetry_space_group_name_Hall '-P 4 2'
_cell_length_a 4.528
_cell_length_b 4.528
_cell_length_c 5.079
_cell_angle_alpha 90.00
_cell_angle_beta 90.00
_cell_angle_gamma 90.00
loop_
_atom_site_label
_atom_site_fract_x
_atom_site_fract_y
_atom_site_fract_z
La1 0.000 0.000 0.000
Ni1 0.000 0.500 0.000
W1 0.000 0.000 0.500
N1 0.500 0.500 0.500

=====

Entry 2:
# La2ZnNiN | the Alexandria database | PBE | optimized geometry
# N(E_F)	2.35	states/eV/f.u.
# uncorrected formation energy	0.260	eV/atom
# total DFT energy (no corrections)	-23.938	eV/cell
# energy above the most stable polymorph in this dataset	4.51	eV/f.u.
data_La2ZnNiN
_symmetry_space_group_name_H-M 'P 4/m m m'
_symmetry_Int_Tables_number 123
_symmetry_space_group_name_Hall '-P 4 2'
_cell_length_a 5.158
_cell_length_b 5.158
_cell_length_c 4.383
_cell_angle_alpha 90.00
_cell_angle_beta 90.00
_cell_angle_gamma 90.00
loop_
_atom_site_label
_atom_site_fract_x
_atom_site_fract_y
_atom_site_fract_z
La1 0.000 0.500 0.000
Zn1 0.000 0.000 0.500
Ni1 0.000 0.000 0.000
N1 0.500 0.500 0.500

=====

Entry 3:
# LaZnNiN | the Alexandria database | PBE | optimized geometry
# N(E_F)	1.30	states/eV/f.u.
# uncorrected formation energy	-0.739	eV/atom
# total DFT energy (no corrections)	-46.527	eV/cell
data_LaZnNiN
_symmetry_space_group_name_H-M 'P 4/n m m'
_symmetry_Int_Tables_number 129
_cell_length_a 3.867
_cell_length_b 3.867
_cell_length_c 8.787
_cell_angle_alpha 90.00
_cell_angle_beta 90.00
_cell_angle_gamma 90.00
loop_
_symmetry_equiv_pos_as_xyz
'x,y,z'
'-x,-y,-z'
'-y+1/2,x,z'
'y+1/2,-x,-z'
'-x+1/2,-y+1/2,z'
'x+1/2,y+1/2,-z'
'y,-x+1/2,z'
'-y,x+1/2,-z'
'x+1/2,-y,-z'
'-x+1/2,y,z'
'-y,-x,-z'
'y,x,z'
'-x,y+1/2,-z'
'x,-y+1/2,z'
'y+1/2,x+1/2,-z'
'-y+1/2,-x+1/2,z'
loop_
_atom_site_label
_atom_site_fract_x
_atom_site_fract_y
_atom_site_fract_z
La1 0.250 0.250 0.148
Zn1 0.250 0.750 0.500
Ni1 0.250 0.250 0.671
N1 0.250 0.250 0.878

=====

Entry 4:
# La2ZnNiN | the Alexandria database | PBE | optimized geometry
# N(E_F)	3.70	states/eV/f.u.
# uncorrected formation energy	-0.642	eV/atom
# total DFT energy (no corrections)	-56.888	eV/cell
# energy above the most stable polymorph in this dataset	0.00	eV/f.u.
data_La2ZnNiN
_symmetry_space_group_name_H-M 'P 1 21/m 1'
_symmetry_Int_Tables_number 11
_cell_length_a 6.929
_cell_length_b 3.942
_cell_length_c 8.236
_cell_angle_alpha 90.00
_cell_angle_beta 109.98
_cell_angle_gamma 90.00
loop_
_symmetry_equiv_pos_as_xyz
'x,y,z'
'-x,-y,-z'
'-x,y+1/2,-z'
'x,-y+1/2,z'
loop_
_atom_site_label
_atom_site_fract_x
_atom_site_fract_y
_atom_site_fract_z
La1 0.207 0.250 0.466
La2 0.213 0.250 0.891
Zn1 0.330 0.750 0.213
Ni1 0.455 0.750 0.747
N1 0.161 0.750 0.676

=====

Entry 5:
# La2ZnNiN | the Alexandria database | PBE | optimized geometry
# N(E_F)	6.24	states/eV/f.u.
# uncorrected formation energy	-0.602	eV/atom
# total DFT energy (no corrections)	-28.245	eV/cell
# energy above the most stable polymorph in this dataset	0.20	eV/f.u.
data_La2ZnNiN
_symmetry_space_group_name_H-M 'P 4/m m m'
_symmetry_Int_Tables_number 123
_symmetry_space_group_name_Hall '-P 4 2'
_cell_length_a 5.240
_cell_length_b 5.240
_cell_length_c 3.722
_cell_angle_alpha 90.00
_cell_angle_beta 90.00
_cell_angle_gamma 90.00
loop_
_atom_site_label
_atom_site_fract_x
_atom_site_fract_y
_atom_site_fract_z
La1 0.000 0.500 0.000
Zn1 0.000 0.000 0.500
Ni1 0.500 0.500 0.500
N1 0.500 0.500 0.000

=====

Entry 6:
# LaZr2NiN4 | the Alexandria database | PBE | optimized geometry
# N(E_F)	3.08	states/eV/f.u.
# uncorrected formation energy	-1.273	eV/atom
# total DFT energy (no corrections)	-285.167	eV/cell
data_LaZr2NiN4
_symmetry_space_group_name_H-M 'C m c m'
_symmetry_Int_Tables_number 63
_symmetry_space_group_name_Hall '-C 2c 2'
_cell_length_a 3.300
_cell_length_b 11.152
_cell_length_c 11.211
_cell_angle_alpha 90.00
_cell_angle_beta 90.00
_cell_angle_gamma 90.00
loop_
_atom_site_label
_atom_site_fract_x
_atom_site_fract_y
_atom_site_fract_z
La1 0.000 0.105 0.250
Zr1 0.000 0.367 0.054
Ni1 0.000 0.158 0.750
N1 0.000 0.000 0.000
N2 0.000 0.267 0.612
N3 0.000 0.437 0.250

=====

Entry 7:
# La2NpN3 | the Alexandria database | PBE | optimized geometry
# N(E_F)	8.30	states/eV/f.u.
# uncorrected formation energy	-1.240	eV/atom
# total DFT energy (no corrections)	-220.845	eV/cell
# energy above the most stable polymorph in this dataset	0.00	eV/f.u.
data_La2NpN3
_symmetry_space_group_name_H-M 'C 1 2/c 1'
_symmetry_Int_Tables_number 15
_cell_length_a 6.360
_cell_length_b 10.887
_cell_length_c 6.234
_cell_angle_alpha 90.00
_cell_angle_beta 109.49
_cell_angle_gamma 90.00
loop_
_symmetry_equiv_pos_as_xyz
'x,y,z'
'-x,-y,-z'
'-x,y,-z+1/2'
'x,-y,z+1/2'
'x+1/2,y+1/2,z'
'-x+1/2,-y+1/2,-z'
'-x+1/2,y+1/2,-z+1/2'
'x+1/2,-y+1/2,z+1/2'
loop_
_atom_site_label
_atom_site_fract_x
_atom_site_fract_y
_atom_site_fract_z
La1 0.000 0.084 0.250
La2 0.000 0.249 0.750
Np1 0.000 0.418 0.250
N1 0.206 0.430 0.000
N2 0.250 0.250 0.500

=====

Entry 8:
# La2NpN3 | the Alexandria database | PBE | optimized geometry
# N(E_F)	5.46	states/eV/f.u.
# uncorrected formation energy	-1.099	eV/atom
# total DFT energy (no corrections)	-217.461	eV/cell
# energy above the most stable polymorph in this dataset	0.85	eV/f.u.
data_La2NpN3
_symmetry_space_group_name_H-M 'C 1 2/c 1'
_symmetry_Int_Tables_number 15
_cell_length_a 10.347
_cell_length_b 6.628
_cell_length_c 6.335
_cell_angle_alpha 90.00
_cell_angle_beta 90.12
_cell_angle_gamma 90.00
loop_
_symmetry_equiv_pos_as_xyz
'x,y,z'
'-x,-y,-z'
'-x,y,-z+1/2'
'x,-y,z+1/2'
'x+1/2,y+1/2,z'
'-x+1/2,-y+1/2,-z'
'-x+1/2,y+1/2,-z+1/2'
'x+1/2,-y+1/2,z+1/2'
loop_
_atom_site_label
_atom_site_fract_x
_atom_site_fract_y
_atom_site_fract_z
La1 0.172 0.162 0.250
Np1 0.000 0.394 0.750
N1 0.000 0.081 0.750
N2 0.158 0.500 0.000

=====

Entry 9:
# La2Np2N5 | the Alexandria database | PBE | optimized geometry
# N(E_F)	9.58	states/eV/f.u.
# uncorrected formation energy	-1.187	eV/atom
# total DFT energy (no corrections)	-352.174	eV/cell
data_La2Np2N5
_symmetry_space_group_name_H-M 'I m a 2'
_symmetry_Int_Tables_number 46
_cell_length_a 16.908
_cell_length_b 6.125
_cell_length_c 5.923
_cell_angle_alpha 90.00
_cell_angle_beta 90.00
_cell_angle_gamma 90.00
loop_
_symmetry_equiv_pos_as_xyz
'x,y,z'
'-x,-y,z'
'-x+1/2,y,z'
'x+1/2,-y,z'
'x+1/2,y+1/2,z+1/2'
'-x+1/2,-y+1/2,z+1/2'
'-x,y+1/2,z+1/2'
'x,-y+1/2,z+1/2'
loop_
_atom_site_label
_atom_site_fract_x
_atom_site_fract_y
_atom_site_fract_z
La1 0.115 0.015 0.000
Np1 0.000 0.000 0.488
Np2 0.250 0.540 0.975
N1 0.020 0.745 0.734
N2 0.131 0.086 0.471
N3 0.250 0.616 0.616

=====

Entry 10:
# La3Np4N12 | the Alexandria database | PBE | optimized geometry
# N(E_F)	9.17	states/eV/f.u.
# uncorrected formation energy	-1.008	eV/atom
# total DFT energy (no corrections)	-371.190	eV/cell
data_La3Np4N12
_symmetry_space_group_name_H-M 'I m -3'
_symmetry_Int_Tables_number 204
_symmetry_space_group_name_Hall '-I 2 2 3'
_cell_length_a 8.367
_cell_length_b 8.367
_cell_length_c 8.367
_cell_angle_alpha 90.00
_cell_angle_beta 90.00
_cell_angle_gamma 90.00
loop_
_atom_site_label
_atom_site_fract_x
_atom_site_fract_y
_atom_site_fract_z
La1 0.000 0.000 0.500
Np1 0.250 0.250 0.250
N1 0.000 0.291 0.231

=====

Entry 11:
# La3Np2N6 | the Alexandria database | PBE | optimized geometry
# N(E_F)	9.00	states/eV/f.u.
# uncorrected formation energy	-1.182	eV/atom
# total DFT energy (no corrections)	-207.228	eV/cell
data_La3Np2N6
_symmetry_space_group_name_H-M 'I 4/m m m'
_symmetry_Int_Tables_number 139
_symmetry_space_group_name_Hall '-I 4 2'
_cell_length_a 4.310
_cell_length_b 4.310
_cell_length_c 20.223
_cell_angle_alpha 90.00
_cell_angle_beta 90.00
_cell_angle_gamma 90.00
loop_
_atom_site_label
_atom_site_fract_x
_atom_site_fract_y
_atom_site_fract_z
La1 0.000 0.000 0.000
La2 0.000 0.000 0.185
Np1 0.000 0.000 0.405
N1 0.000 0.000 0.298
N2 0.000 0.500 0.086

=====

Entry 12:
# La6NpN8 | the Alexandria database | PBE | optimized geometry
# uncorrected formation energy	-1.172	eV/atom
# total DFT energy (no corrections)	-380.074	eV/cell
data_La6NpN8
_symmetry_space_group_name_H-M 'R -3'
_symmetry_Int_Tables_number 148
_symmetry_space_group_name_Hall '-R 3'
_cell_length_a 7.8228
_cell_length_b 7.8228
_cell_length_c 14.8028
_cell_angle_alpha 90.00
_cell_angle_beta 90.00
_cell_angle_gamma 120.00
loop_
_atom_site_label
_atom_site_fract_x
_atom_site_fract_y
_atom_site_fract_z
La1 0.0357 0.2926 0.2495
Np1 0.0000 0.0000 0.0000
N1 0.0000 0.0000 0.3188
N2 0.0030 0.2360 0.0831

=====

Question: Among the records above, which one has the highest total DFT energy (no corrections)?
Answer: LaNi2WN

=====

Question: The lowest uncorrected formation energy belongs to which entry?
Answer: LaZr2NiN4

=====

Question: Which of these has the lowest total DFT energy (no corrections)?
Answer: La6NpN8

=====

Question: total DFT energy (no corrections) of number 6 (LaZr2NiN4)?
Answer: -285.167 eV/cell